Nd2TcN4: optimized geometry, GGA-PBE.

Summary:
VASP energy (eV for the cell shown): -58.50
DOS at the Fermi energy (states/eV/f.u.): 3.4
Space-group type: I4/mmm, No. 139
Energy relative to the elements, uncorrected (meV per atom): -757
Size of the total moment (Bohr magnetons per cell): 0.00

a = 3.878 Å, b = 3.878 Å, c = 6.927 Å
α = 73.74°, β = 73.74°, γ = 90.00°
Fractional positions:
N 0.832 0.832 0.335
Nd 0.647 0.647 0.707
Tc 0.000 0.000 0.000
N 0.500 0.000 0.000
N 0.168 0.168 0.665
Nd 0.353 0.353 0.293
N 0.000 0.500 0.000



NdTcN3: optimized geometry, GGA-PBE.

Summary:
VASP energy (eV for the cell shown): -171.03
DOS at the Fermi energy (states/eV/f.u.): 2.2
Space-group type: C2/c, No. 15
Energy relative to the elements, uncorrected (meV per atom): -529
Size of the total moment (Bohr magnetons per cell): 0.00

a = 6.325 Å, b = 7.438 Å, c = 7.438 Å
α = 84.73°, β = 74.92°, γ = 74.92°
Fractional positions:
N 0.152 0.137 0.619
N 0.457 0.342 0.350
N 0.661 0.999 0.772
N 0.043 0.650 0.658
Tc 0.237 0.202 0.378
Nd 0.750 0.310 0.690
Tc 0.763 0.798 0.622
Tc 0.737 0.378 0.202
N 0.339 0.001 0.228
N 0.848 0.863 0.381
N 0.957 0.350 0.342
N 0.543 0.658 0.650
Nd 0.250 0.092 0.908
N 0.348 0.381 0.863
Tc 0.263 0.622 0.798
Nd 0.250 0.690 0.310
N 0.652 0.619 0.137
Nd 0.750 0.908 0.092
N 0.839 0.228 0.001
N 0.161 0.772 0.999